(1)
Entry from Alexandria: a relaxed structure of Cs2LiI2 (GGA-PBEsol).

Output
E_form (uncorrected) = -915.8 meV per atom
Space group = P4/mbm

```
Cs2LiI2
1.0
-2.3307 2.4336 -2.7776
-7.8161 0.6936 7.1661
4.4348 8.7962 3.9857
Cs I Li
4 4 2
direct
0.0000 0.3563 0.8563
0.0000 0.8563 0.6437
0.0000 0.6437 0.1437
0.0000 0.1437 0.3563
0.5000 0.1525 0.6525
0.5000 0.6525 0.8475
0.5000 0.8475 0.3475
0.5000 0.3475 0.1525
0.0000 0.0000 0.0000
0.0000 0.5000 0.5000
```

(2)
Entry from Alexandria: a relaxed structure of SiIrRh2 (GGA-PBEsol).

Output
E_form (uncorrected) = -263.8 meV per atom
Space group = Pmmm

```
SiIrRh2
1.0
-1.0053 -0.6240 -2.4455
0.7754 -3.5572 0.5889
-4.7995 -0.6904 2.1492
Ir Rh Si
1 2 1
direct
0.5000 0.5000 0.5000
0.0000 0.0000 0.7567
0.0000 0.0000 0.2433
0.5000 0.5000 0.0000
```

(3)
Entry from Alexandria: a relaxed structure of InGeN2O (GGA-PBEsol).

Output
E_form (uncorrected) = 309.8 meV per atom
Space group = P4/mmm

```
InGeN2O
1.0
3.7245 0.0000 0.0000
0.0000 3.8302 0.0000
0.0000 0.0000 3.8302
Ge N O In
1 2 1 1
direct
0.0000 0.0000 0.0000
0.0000 0.0000 0.5000
0.0000 0.5000 0.0000
0.5000 0.0000 0.0000
0.5000 0.5000 0.5000
```

(4)
Entry from Alexandria: a relaxed structure of BaMg2Zn (GGA-PBEsol).

Output
DFT formation energy = -0.0237 eV per atom
Space group = P4mm

```
BaMg2Zn
1.0
-0.3154 -3.1760 -1.6988
3.1147 0.6159 -1.7296
4.0923 -3.6526 6.0688
Ba Mg Zn
1 2 1
direct
0.5000 0.5000 0.7221
0.0000 0.0000 0.0588
0.5000 0.5000 0.2803
0.0000 0.0000 0.4388
```

(5)
Entry from Alexandria: a relaxed structure of LiOs2Br (GGA-PBEsol).

Output
E_form (uncorrected) = 347.0 meV per atom
Space group = Amm2

```
LiOs2Br
1.0
2.9073 0.0000 0.0000
0.0000 3.4903 0.0000
-1.4537 0.0000 6.2946
Br Li Os
1 1 2
direct
0.2811 0.0000 0.5622
0.6959 0.5000 0.3919
0.0604 0.0000 0.1209
0.4717 0.5000 0.9433
```

(6)
Entry from Alexandria: a relaxed structure of Mg5Ga (GGA-PBEsol).

Output
DFT formation energy = -0.0425 eV per atom
Space group = P-62m

```
Mg5Ga
1.0
-1.9954 -2.3666 3.8225
-2.3999 -3.5005 -3.4200
4.9809 -1.0664 1.9398
Mg Ga
5 1
direct
0.5000 0.3221 0.3221
0.5000 0.0000 0.6779
0.5000 0.6779 0.0000
0.0000 0.6667 0.3333
0.0000 0.3333 0.6667
0.0000 0.0000 0.0000
```

(7)
Entry from Alexandria: a relaxed structure of SrAl3Te (GGA-PBEsol).

Output
E_form (uncorrected) = 1302.7 meV per atom
Space group = Pm-3m

```
SrAl3Te
1.0
5.7595 0.0000 0.0000
0.0000 5.7595 0.0000
0.0000 0.0000 5.7595
Sr Te Al
1 1 3
direct
0.0000 0.0000 0.0000
0.5000 0.5000 0.5000
0.0000 0.5000 0.0000
0.0000 0.0000 0.5000
0.5000 0.0000 0.0000
```

(8)
Entry from Alexandria: a relaxed structure of PrI3 (GGA-PBEsol).

Output
E_form (uncorrected) = -1344.0 meV per atom
Space group = P6_3/mmc

```
PrI3
1.0
4.1001 0.0000 0.0000
0.0000 10.7525 0.0000
0.0000 -5.3763 9.3120
Pr I
2 6
direct
0.7500 0.3333 0.6667
0.2500 0.6667 0.3333
0.2500 0.5867 0.7933
0.2500 0.2067 0.4133
0.2500 0.2067 0.7933
0.7500 0.4133 0.2067
0.7500 0.7933 0.5867
0.7500 0.7933 0.2067
```

The following density values (in g/cm3) correspond, in order, to the records above: 3.55; 13.31; 7.03; 3.90; 12.15; 2.51; 2.57; 4.22.
The following N(E_F) values (in states/eV/cell) correspond, in order, to the records above: 4.07; 3.58; 3.43; 2.83; 2.09; 2.17; 3.68; 0.00.